Entry 1:
{
  "formula": "Cu2H2Cl7",
  "functional": "PBE",
  "state": "relaxed",
  "lattice_angstrom": [[6.600, 0.000, 0.000], [0.000, 11.765, 0.000], [-4.333, 0.000, 7.301]],
  "species": ["Cu", "Cu", "Cu", "Cu", "H", "H", "H", "H", "Cl", "Cl", "Cl", "Cl", "Cl", "Cl", "Cl", "Cl", "Cl", "Cl", "Cl", "Cl", "Cl", "Cl"],
  "fractional_positions": [[0.115, 0.126, 0.366], [0.115, 0.374, 0.866], [0.885, 0.626, 0.134], [0.885, 0.874, 0.634], [0.231, 0.612, 0.767], [0.231, 0.888, 0.267], [0.769, 0.112, 0.733], [0.769, 0.388, 0.233], [0.000, 0.000, 0.500], [0.000, 0.500, 0.000], [0.207, 0.717, 0.325], [0.207, 0.783, 0.825], [0.290, 0.509, 0.738], [0.290, 0.991, 0.238], [0.337, 0.230, 0.911], [0.337, 0.270, 0.411], [0.663, 0.730, 0.589], [0.663, 0.770, 0.089], [0.710, 0.009, 0.762], [0.710, 0.491, 0.262], [0.793, 0.217, 0.175], [0.793, 0.283, 0.675]]
}

=====

Entry 2:
{
  "formula": "Cu2H2Cl3",
  "functional": "PBE",
  "state": "relaxed",
  "lattice_angstrom": [[3.745, 0.000, 0.000], [-1.063, 5.483, 0.000], [-0.429, -2.360, 5.856]],
  "species": ["Cu", "Cu", "H", "H", "Cl", "Cl", "Cl"],
  "fractional_positions": [[0.191, 0.388, 0.266], [0.809, 0.612, 0.734], [0.052, 0.026, 0.959], [0.948, 0.974, 0.041], [0.307, 0.780, 0.594], [0.500, 0.500, 0.000], [0.693, 0.220, 0.406]]
}

=====

Entry 3:
{
  "formula": "CuHCl",
  "functional": "PBE",
  "state": "relaxed",
  "lattice_angstrom": [[15.474, 0.000, 0.000], [0.000, 5.477, 0.000], [0.000, 0.000, 14.903]],
  "species": ["Cu", "Cu", "Cu", "Cu", "Cu", "Cu", "Cu", "Cu", "Cu", "Cu", "Cu", "Cu", "Cu", "Cu", "Cu", "Cu", "Cu", "Cu", "Cu", "Cu", "Cu", "Cu", "Cu", "Cu", "H", "H", "H", "H", "H", "H", "H", "H", "H", "H", "H", "H", "H", "H", "H", "H", "H", "H", "H", "H", "H", "H", "H", "H", "Cl", "Cl", "Cl", "Cl", "Cl", "Cl", "Cl", "Cl", "Cl", "Cl", "Cl", "Cl", "Cl", "Cl", "Cl", "Cl", "Cl", "Cl", "Cl", "Cl", "Cl", "Cl", "Cl", "Cl"],
  "fractional_positions": [[0.213, 0.000, 0.244], [0.213, 0.000, 0.744], [0.219, 0.222, 0.084], [0.219, 0.223, 0.905], [0.219, 0.777, 0.405], [0.219, 0.778, 0.584], [0.281, 0.277, 0.405], [0.281, 0.278, 0.584], [0.281, 0.722, 0.084], [0.281, 0.723, 0.905], [0.287, 0.500, 0.244], [0.287, 0.500, 0.744], [0.713, 0.500, 0.256], [0.713, 0.500, 0.756], [0.719, 0.277, 0.095], [0.719, 0.278, 0.916], [0.719, 0.722, 0.416], [0.719, 0.723, 0.595], [0.781, 0.222, 0.416], [0.781, 0.223, 0.595], [0.781, 0.777, 0.095], [0.781, 0.778, 0.916], [0.787, 0.000, 0.256], [0.787, 0.000, 0.756], [0.161, 0.215, 0.994], [0.161, 0.785, 0.494], [0.226, 0.276, 0.306], [0.226, 0.278, 0.683], [0.226, 0.722, 0.183], [0.226, 0.724, 0.806], [0.274, 0.222, 0.183], [0.274, 0.224, 0.806], [0.274, 0.776, 0.306], [0.274, 0.778, 0.683], [0.339, 0.285, 0.494], [0.339, 0.715, 0.994], [0.661, 0.285, 0.006], [0.661, 0.715, 0.506], [0.726, 0.222, 0.317], [0.726, 0.224, 0.694], [0.726, 0.776, 0.194], [0.726, 0.778, 0.817], [0.774, 0.276, 0.194], [0.774, 0.278, 0.817], [0.774, 0.722, 0.317], [0.774, 0.724, 0.694], [0.839, 0.215, 0.506], [0.839, 0.785, 0.006], [0.095, 0.191, 0.151], [0.095, 0.192, 0.837], [0.095, 0.808, 0.337], [0.095, 0.809, 0.651], [0.165, 0.286, 0.494], [0.165, 0.714, 0.994], [0.335, 0.214, 0.994], [0.335, 0.786, 0.494], [0.405, 0.308, 0.337], [0.405, 0.309, 0.651], [0.405, 0.691, 0.151], [0.405, 0.692, 0.837], [0.595, 0.308, 0.163], [0.595, 0.309, 0.849], [0.595, 0.691, 0.349], [0.595, 0.692, 0.663], [0.665, 0.214, 0.506], [0.665, 0.786, 0.006], [0.835, 0.286, 0.006], [0.835, 0.714, 0.506], [0.905, 0.191, 0.349], [0.905, 0.192, 0.663], [0.905, 0.808, 0.163], [0.905, 0.809, 0.849]]
}

=====

Entry 4:
{
  "formula": "Cu3HCl",
  "functional": "PBE",
  "state": "relaxed",
  "lattice_angstrom": [[3.918, 0.000, 0.000], [0.000, 3.918, 0.000], [0.000, 0.000, 3.918]],
  "species": ["Cu", "Cu", "Cu", "H", "Cl"],
  "fractional_positions": [[0.000, 0.000, 0.500], [0.000, 0.500, 0.000], [0.500, 0.000, 0.000], [0.000, 0.000, 0.000], [0.500, 0.500, 0.500]]
}

=====

Entry 5:
{
  "formula": "CuH2Cl4",
  "functional": "PBE",
  "state": "relaxed",
  "lattice_angstrom": [[4.017, -4.234, 0.000], [4.017, 4.234, 0.000], [-3.582, 0.000, 4.882]],
  "species": ["Cu", "H", "H", "Cl", "Cl", "Cl", "Cl"],
  "fractional_positions": [[0.000, 0.000, 0.000], [0.503, 0.846, 0.135], [0.846, 0.503, 0.135], [0.153, 0.153, 0.807], [0.381, 0.922, 0.291], [0.698, 0.698, 0.935], [0.922, 0.381, 0.291]]
}

=====

Entry 6:
{
  "formula": "CuH2Cl5",
  "functional": "PBE",
  "state": "relaxed",
  "lattice_angstrom": [[6.538, 0.000, 0.000], [-1.151, 6.806, 0.000], [-2.021, -3.588, 5.560]],
  "species": ["Cu", "H", "H", "Cl", "Cl", "Cl", "Cl", "Cl"],
  "fractional_positions": [[0.000, 0.000, 0.000], [0.329, 0.619, 0.325], [0.517, 0.556, 0.860], [0.188, 0.852, 0.811], [0.317, 0.390, 0.705], [0.511, 0.809, 0.464], [0.853, 0.833, 0.144], [0.980, 0.321, 0.050]]
}

=====

no.,volume (Å³ per cell),VASP energy (eV/atom)
1,567.0,-2.881
2,120.2,-3.184
3,1263.0,-3.169
4,60.2,-3.174
5,166.1,-3.024
6,247.4,-2.822